Compound: PmDy4N4
Source: the Alexandria database
Functional: PBE-GGA
Structure: optimized geometry

```
9
Lattice="-3.9540 3.9540 2.4586 3.9540 -3.9540 2.4586 3.9540 3.9540 -2.4586" Properties=species:S:1:pos:R:3 pbc="T T T"
Pm 0.0000 0.0000 0.0000
Dy 4.8252 1.4638 0.0000
Dy 1.4638 3.0827 0.0000
Dy 2.4902 0.8713 2.4586
Dy -0.8713 2.4902 2.4586
N 2.4027 0.7917 0.0000
N 3.1623 -1.5512 2.4586
N 0.7917 5.5052 0.0000
N 1.5512 3.1623 2.4586
```

Summary:
The density of states at the Fermi level comes out at 0.51 states/eV/atom. Its uncorrected formation energy is -1455.7 meV/atom. The crystal system is tetragonal.



Compound: Dy2ErSc
Source: the Alexandria database
Functional: PBE-GGA
Structure: optimized geometry

```
12
Lattice="3.5025 0.0000 0.0000 -1.7513 3.0333 0.0000 0.0000 0.0000 33.3100" Properties=species:S:1:pos:R:3 pbc="T T T"
Dy 0.0000 0.0000 0.0000
Dy 0.0000 0.0000 5.6999
Dy 0.0000 2.0222 22.2067
Dy 0.0000 2.0222 27.9067
Dy 1.7513 1.0111 11.1033
Dy 1.7513 1.0111 16.8033
Er 0.0000 0.0000 13.9590
Er 0.0000 2.0222 2.8556
Er 1.7513 1.0111 25.0623
Sc 0.0000 0.0000 19.4986
Sc 0.0000 2.0222 8.3952
Sc 1.7513 1.0111 30.6019
```

Summary:
The density of states at the Fermi level comes out at 1.53 states/eV/atom. The value obtained for the calculated formation energy is 0.0342 eV per atom. The crystal system is trigonal. As for the energy relative to the lowest polymorph listed for this composition: 3 meV per atom.



Compound: La6P3Cl2
Source: the Alexandria database
Functional: PBE-GGA
Structure: optimized geometry

```
11
Lattice="3.6533 -6.3050 0.0000 3.6533 6.3050 0.0000 -2.4309 0.0000 6.9272" Properties=species:S:1:pos:R:3 pbc="T T T"
La -0.0051 2.0946 5.3181
La 1.2111 0.0000 1.5787
La -0.0051 -2.0946 5.3181
La 4.8808 2.0946 1.6091
La 3.6646 0.0000 5.3485
La 4.8808 -2.0946 1.6091
P 3.6533 4.1722 0.0000
P 3.6533 0.0000 0.0000
P 3.6533 -4.1722 0.0000
Cl 2.4378 2.0893 3.4636
Cl 2.4378 -2.0893 3.4636
```

Summary:
The density of states at the Fermi level comes out at 0.61 states/eV/atom. Its uncorrected formation energy is -1537.8 meV/atom. The crystal system is monoclinic.



Compound: PmMgSnRu
Source: the Alexandria database
Functional: PBE-GGA
Structure: optimized geometry

```
16
Lattice="6.8982 0.0000 0.0000 0.0000 6.8982 0.0000 0.0000 0.0000 6.8982" Properties=species:S:1:pos:R:3 pbc="T T T"
Pm 0.0000 0.0000 0.0000
Pm 0.0000 3.4491 3.4491
Pm 3.4491 0.0000 3.4491
Pm 3.4491 3.4491 0.0000
Mg 1.7245 1.7245 5.1736
Mg 1.7245 5.1736 1.7245
Mg 5.1736 1.7245 1.7245
Mg 5.1736 5.1736 5.1736
Sn 0.0000 0.0000 3.4491
Sn 0.0000 3.4491 0.0000
Sn 3.4491 0.0000 0.0000
Sn 3.4491 3.4491 3.4491
Ru 1.7245 1.7245 1.7245
Ru 1.7245 5.1736 5.1736
Ru 5.1736 1.7245 5.1736
Ru 5.1736 5.1736 1.7245
```

Summary:
The density of states at the Fermi level comes out at 1.26 states/eV/atom. The value obtained for the calculated formation energy is -0.2210 eV per atom. The crystal system is cubic.



Compound: MoRhW
Source: the Alexandria database
Functional: PBE-GGA
Structure: optimized geometry

```
6
Lattice="2.7123 0.0000 0.0000 0.0000 2.7155 0.0000 0.0000 0.0000 12.9288" Properties=species:S:1:pos:R:3 pbc="T T T"
Mo 0.0000 0.0000 0.0000
Mo 0.0000 1.3578 6.4644
Rh 1.3562 0.0000 8.3685
Rh 1.3562 1.3578 1.9041
W 1.3562 0.0000 4.2073
W 1.3562 1.3578 10.6717
```

Summary:
The density of states at the Fermi level comes out at 0.61 states/eV/atom. The value obtained for the calculated formation energy is 0.1866 eV per atom. The crystal system is orthorhombic. As for the energy relative to the lowest polymorph listed for this composition: 245 meV per atom.



Compound: LaAg3Au2
Source: the Alexandria database
Functional: PBE-GGA
Structure: optimized geometry

```
12
Lattice="7.3837 -2.2493 0.0000 7.3837 2.2493 0.0000 -4.5406 0.0000 7.7398" Properties=species:S:1:pos:R:3 pbc="T T T"
La 1.9147 0.0000 0.0184
La 8.3121 0.0000 7.7214
Ag -0.9076 0.0000 3.1538
Ag 2.1127 0.0000 3.4667
Ag 4.7583 0.0000 2.4574
Ag 5.4685 0.0000 5.2824
Ag 8.1141 0.0000 4.2731
Ag 11.1344 0.0000 4.5860
Au -0.1696 0.0000 5.9047
Au 2.7955 0.0000 6.2881
Au 7.4314 0.0000 1.4517
Au 10.3964 0.0000 1.8351
```

Summary:
The density of states at the Fermi level comes out at 0.41 states/eV/atom. The value obtained for the calculated formation energy is -0.3373 eV per atom. The crystal system is monoclinic. As for the energy relative to the lowest polymorph listed for this composition: 0 meV per atom.